(1)
A plane-wave DFT calculation with PBEsol was carried out for ReRhBr2 after structural relaxation.

a = 2.905 Å, b = 5.290 Å, c = 9.797 Å
α = 90.00°, β = 90.00°, γ = 90.00°
Space group Cmm2 (No. 35)
Asymmetric unit:
Re1 0.000 0.000 0.000
Rh1 0.000 0.500 0.210
Br1 0.000 0.000 0.442
Br2 0.000 0.500 0.781

Properties
The total energy is -5.657 eV per atom. As for the energy relative to the elements, uncorrected: 645 meV/atom. The calculation puts the energy above the most stable polymorph in this dataset at 0.0 kJ per mole of atoms.


(2)
A plane-wave DFT calculation with PBEsol was carried out for LiP2SCl after structural relaxation.

a = 4.311 Å, b = 4.311 Å, c = 6.958 Å
α = 90.00°, β = 90.00°, γ = 90.00°
Space group P4/mmm (No. 123)
Asymmetric unit:
Li1 0.000 0.000 0.000
P1 0.000 0.500 0.500
S1 0.500 0.500 0.500
Cl1 0.500 0.500 0.000

Properties
The total energy is -3.705 eV per atom. As for the energy relative to the elements, uncorrected: 284 meV/atom. The calculation puts the energy above the most stable polymorph in this dataset at 0.0 kJ per mole of atoms.


(3)
A plane-wave DFT calculation with PBEsol was carried out for KScRh after structural relaxation.

a = 4.6795 Å, b = 4.6795 Å, c = 3.3087 Å
α = 90.00°, β = 90.00°, γ = 120.00°
Space group P3m1 (No. 156)
Asymmetric unit:
K1 0.0000 0.0000 0.0000
Sc1 0.6667 0.3333 0.5832
Rh1 0.3333 0.6667 0.3855

Properties
As for the formation energy: 0.446 eV per atom. The total energy is -4.846 eV per atom.


(4)
A plane-wave DFT calculation with PBEsol was carried out for CaB2N2 after structural relaxation.

a = 3.256 Å, b = 3.256 Å, c = 8.430 Å
α = 90.00°, β = 90.00°, γ = 90.00°
Space group I4/mmm (No. 139)
Asymmetric unit:
Ca1 0.000 0.000 0.000
B1 0.000 0.500 0.250
N1 0.000 0.000 0.302

Properties
The total energy is -6.449 eV per atom. As for the energy relative to the elements, uncorrected: 195 meV/atom.


(5)
A plane-wave DFT calculation with PBEsol was carried out for NaMn2Os after structural relaxation.

a = 5.875 Å, b = 5.875 Å, c = 5.875 Å
α = 90.00°, β = 90.00°, γ = 90.00°
Space group Fm-3m (No. 225)
Asymmetric unit:
Na1 0.000 0.000 0.000
Mn1 0.250 0.250 0.250
Os1 0.000 0.000 0.500

Properties
As for the formation energy: 0.899 eV per atom. The total energy is -7.385 eV per atom.


(6)
A plane-wave DFT calculation with PBEsol was carried out for FeCo2 after structural relaxation.

a = 2.794 Å, b = 2.794 Å, c = 8.293 Å
α = 90.00°, β = 90.00°, γ = 90.00°
Space group P4/mmm (No. 123)
Asymmetric unit:
Fe1 0.000 0.000 0.169
Co1 0.000 0.000 0.500
Co2 0.500 0.500 0.000
Co3 0.500 0.500 0.332

Properties
As for the formation energy: 0.038 eV per atom. The total energy is -8.108 eV per atom.


(7)
A plane-wave DFT calculation with PBEsol was carried out for SrLa2W after structural relaxation.

a = 3.708 Å, b = 5.477 Å, c = 11.389 Å
α = 90.00°, β = 90.00°, γ = 90.00°
Space group Cmm2 (No. 35)
Asymmetric unit:
Sr1 0.000 0.000 0.000
La1 0.000 0.000 0.597
La2 0.000 0.500 0.304
W1 0.000 0.500 0.778

Properties
As for the formation energy: 0.764 eV per atom. The total energy is -5.821 eV per atom.


(8)
A plane-wave DFT calculation with PBEsol was carried out for LiScSb2 after structural relaxation.

a = 8.723 Å, b = 4.274 Å, c = 5.211 Å
α = 90.00°, β = 114.24°, γ = 90.00°
Space group C2/m (No. 12)
Asymmetric unit:
Li1 0.000 0.000 0.000
Sc1 0.000 0.500 0.500
Sb1 0.247 0.500 0.237

Properties
The total energy is -4.984 eV per atom. As for the energy relative to the elements, uncorrected: -563 meV/atom. The calculation puts the energy above the most stable polymorph in this dataset at 6.5 kJ per mole of atoms.


(9)
A plane-wave DFT calculation with PBEsol was carried out for InCoRe2 after structural relaxation.

a = 2.7661 Å, b = 2.7661 Å, c = 26.6560 Å
α = 90.00°, β = 90.00°, γ = 120.00°
Space group R-3m (No. 166, hexagonal axes)
Asymmetric unit:
In1 0.0000 0.0000 0.0000
Co1 0.0000 0.0000 0.5000
Re1 0.0000 0.0000 0.2410

Properties
As for the formation energy: 0.451 eV per atom. The total energy is -8.895 eV per atom.


(10)
A plane-wave DFT calculation with PBEsol was carried out for NaTaCl3 after structural relaxation.

a = 4.849 Å, b = 4.849 Å, c = 4.849 Å
α = 90.00°, β = 90.00°, γ = 90.00°
Space group Pm-3m (No. 221)
Asymmetric unit:
Na1 0.000 0.000 0.000
Ta1 0.500 0.500 0.500
Cl1 0.000 0.500 0.500

Properties
The total energy is -4.740 eV per atom. As for the energy relative to the elements, uncorrected: -745 meV/atom.


(11)
A plane-wave DFT calculation with PBEsol was carried out for FeMoPt2 after structural relaxation.

a = 5.384 Å, b = 7.852 Å, c = 2.686 Å
α = 90.00°, β = 90.00°, γ = 90.00°
Space group Cmmm (No. 65)
Asymmetric unit:
Fe1 0.000 0.000 0.000
Mo1 0.000 0.500 0.000
Pt1 0.250 0.250 0.500

Properties
As for the formation energy: -0.184 eV per atom. The total energy is -8.849 eV per atom.


(12)
A plane-wave DFT calculation with PBEsol was carried out for Li2PbSe after structural relaxation.

a = 3.551 Å, b = 3.551 Å, c = 6.196 Å
α = 90.00°, β = 90.00°, γ = 90.00°
Space group P4/mmm (No. 123)
Asymmetric unit:
Li1 0.000 0.000 0.194
Pb1 0.500 0.500 0.500
Se1 0.500 0.500 0.000

Properties
The total energy is -3.599 eV per atom. As for the energy relative to the elements, uncorrected: -653 meV/atom.


(13)
A plane-wave DFT calculation with PBEsol was carried out for ZnCu2Sb after structural relaxation.

a = 5.300 Å, b = 5.813 Å, c = 4.579 Å
α = 90.00°, β = 119.61°, γ = 90.00°
Space group C2 (No. 5)
Asymmetric unit:
Zn1 0.000 0.000 0.000
Cu1 0.000 0.230 0.500
Cu2 0.000 0.459 0.000
Sb1 0.000 0.724 0.500

Properties
The total energy is -3.568 eV per atom. As for the energy relative to the elements, uncorrected: 134 meV/atom. The calculation puts the energy above the most stable polymorph in this dataset at 0.0 kJ per mole of atoms.


(14)
A plane-wave DFT calculation with PBEsol was carried out for NaCrPb3 after structural relaxation.

a = 5.360 Å, b = 5.360 Å, c = 5.360 Å
α = 90.00°, β = 90.00°, γ = 90.00°
Space group Pm-3m (No. 221)
Asymmetric unit:
Na1 0.000 0.000 0.000
Cr1 0.500 0.500 0.500
Pb1 0.000 0.000 0.500

Properties
As for the formation energy: 1.022 eV per atom. The total energy is -3.706 eV per atom.


(15)
A plane-wave DFT calculation with PBEsol was carried out for Cs3P7 after structural relaxation.

a = 8.997 Å, b = 8.997 Å, c = 16.504 Å
α = 90.00°, β = 90.00°, γ = 90.00°
Space group P4_1 (No. 76)
Asymmetric unit:
Cs1 0.019 0.830 0.000
Cs2 0.256 0.624 0.502
Cs3 0.265 0.414 0.091
P1 0.004 0.655 0.205
P2 0.006 0.289 0.841
P3 0.025 0.649 0.811
P4 0.095 0.559 0.694
P5 0.108 0.480 0.894
P6 0.210 0.624 0.284
P7 0.214 0.394 0.314

Properties
As for the formation energy: -0.426 eV per atom. The total energy is -4.763 eV per atom.


(16)
A plane-wave DFT calculation with PBEsol was carried out for Mg2SbPb after structural relaxation.

a = 6.719 Å, b = 8.464 Å, c = 3.438 Å
α = 90.00°, β = 91.83°, γ = 90.00°
Space group C2/m (No. 12)
Asymmetric unit:
Mg1 0.250 0.250 0.000
Sb1 0.000 0.000 0.500
Pb1 0.000 0.500 0.500

Properties
The total energy is -3.119 eV per atom. As for the energy relative to the elements, uncorrected: -122 meV/atom. The calculation puts the energy above the most stable polymorph in this dataset at 2.0 kJ per mole of atoms.


(17)
A plane-wave DFT calculation with PBEsol was carried out for NaBe2W after structural relaxation.

a = 5.932 Å, b = 5.932 Å, c = 5.932 Å
α = 90.00°, β = 90.00°, γ = 90.00°
Space group Fm-3m (No. 225)
Asymmetric unit:
Na1 0.000 0.000 0.000
Be1 0.250 0.250 0.250
W1 0.000 0.000 0.500

Properties
As for the formation energy: 1.055 eV per atom. The total energy is -4.747 eV per atom.


(18)
A plane-wave DFT calculation with PBEsol was carried out for ZnGa2Hg after structural relaxation.

a = 3.940 Å, b = 3.940 Å, c = 19.344 Å
α = 90.00°, β = 90.00°, γ = 90.00°
Space group I-42d (No. 122)
Asymmetric unit:
Zn1 0.000 0.000 0.000
Ga1 0.235 0.250 0.125
Hg1 0.000 0.000 0.500

Properties
As for the formation energy: 0.075 eV per atom. The total energy is -2.132 eV per atom.


(19)
A plane-wave DFT calculation with PBEsol was carried out for Ta2ZnCo after structural relaxation.

a = 2.9240 Å, b = 2.9240 Å, c = 25.0180 Å
α = 90.00°, β = 90.00°, γ = 120.00°
Space group R3m (No. 160, hexagonal axes)
Asymmetric unit:
Ta1 0.0000 0.0000 0.0000
Ta2 0.0000 0.0000 0.2375
Zn1 0.0000 0.0000 0.7569
Co1 0.0000 0.0000 0.4993

Properties
As for the formation energy: 0.185 eV per atom. The total energy is -8.420 eV per atom.


(20)
A plane-wave DFT calculation with PBEsol was carried out for MgTaOs3 after structural relaxation.

a = 4.341 Å, b = 4.341 Å, c = 4.341 Å
α = 90.00°, β = 90.00°, γ = 90.00°
Space group Pm-3m (No. 221)
Asymmetric unit:
Mg1 0.000 0.000 0.000
Ta1 0.500 0.500 0.500
Os1 0.000 0.000 0.500

Properties
As for the formation energy: 1.862 eV per atom. The total energy is -8.321 eV per atom.


(21)
A plane-wave DFT calculation with PBEsol was carried out for BaSc2Se after structural relaxation.

a = 3.6430 Å, b = 3.6430 Å, c = 29.6534 Å
α = 90.00°, β = 90.00°, γ = 120.00°
Space group R-3m (No. 166, hexagonal axes)
Asymmetric unit:
Ba1 0.0000 0.0000 0.0000
Sc1 0.0000 0.0000 0.1144
Se1 0.0000 0.0000 0.5000

Properties
The total energy is -5.343 eV per atom. As for the energy relative to the elements, uncorrected: -541 meV/atom.


(22)
A plane-wave DFT calculation with PBEsol was carried out for Hf5Sn4 after structural relaxation.

a = 8.6384 Å, b = 8.6384 Å, c = 5.8320 Å
α = 90.00°, β = 90.00°, γ = 120.00°
Space group P6_3/mcm (No. 193)
Asymmetric unit:
Hf1 0.0000 0.2826 0.2500
Hf2 0.3333 0.6667 0.0000
Sn1 0.0000 0.0000 0.0000
Sn2 0.0000 0.3856 0.7500

Properties
As for the formation energy: -0.474 eV per atom. The total energy is -8.202 eV per atom.


(23)
A plane-wave DFT calculation with PBEsol was carried out for TaZnW2 after structural relaxation.

a = 3.284 Å, b = 3.284 Å, c = 5.777 Å
α = 90.00°, β = 90.00°, γ = 90.00°
Space group P4/mmm (No. 123)
Asymmetric unit:
Ta1 0.000 0.000 0.000
Zn1 0.000 0.000 0.500
W1 0.500 0.500 0.270

Properties
As for the formation energy: 0.219 eV per atom. The total energy is -10.218 eV per atom.


(24)
A plane-wave DFT calculation with PBEsol was carried out for LiPb3C after structural relaxation.

a = 4.951 Å, b = 4.951 Å, c = 4.951 Å
α = 90.00°, β = 90.00°, γ = 90.00°
Space group Pm-3m (No. 221)
Asymmetric unit:
Li1 0.000 0.000 0.000
Pb1 0.000 0.000 0.500
C1 0.500 0.500 0.500

Properties
As for the formation energy: 1.416 eV per atom. The total energy is -3.305 eV per atom.


(25)
A plane-wave DFT calculation with PBEsol was carried out for Zn3SnO after structural relaxation.

a = 4.269 Å, b = 4.269 Å, c = 4.269 Å
α = 90.00°, β = 90.00°, γ = 90.00°
Space group Pm-3m (No. 221)
Asymmetric unit:
Zn1 0.000 0.000 0.500
Sn1 0.500 0.500 0.500
O1 0.000 0.000 0.000

Properties
The total energy is -2.982 eV per atom. As for the energy relative to the elements, uncorrected: -131 meV/atom.


(26)
A plane-wave DFT calculation with PBEsol was carried out for ReNiIr2 after structural relaxation.

a = 8.827 Å, b = 2.679 Å, c = 4.594 Å
α = 90.00°, β = 99.88°, γ = 90.00°
Space group C2/m (No. 12)
Asymmetric unit:
Re1 0.000 0.000 0.000
Ni1 0.000 0.500 0.500
Ir1 0.249 0.500 0.253

Properties
As for the formation energy: -0.069 eV per atom. The total energy is -9.853 eV per atom. The calculation puts the energy above the most stable polymorph in this dataset at 5.8 kJ per mole of atoms.


(27)
A plane-wave DFT calculation with PBEsol was carried out for LaHfPb2I after structural relaxation.

a = 5.997 Å, b = 5.997 Å, c = 5.482 Å
α = 90.00°, β = 90.00°, γ = 90.00°
Space group P4/mmm (No. 123)
Asymmetric unit:
La1 0.000 0.000 0.000
Hf1 0.000 0.000 0.500
Pb1 0.000 0.500 0.000
I1 0.500 0.500 0.500

Properties
The total energy is -4.094 eV per atom. As for the energy relative to the elements, uncorrected: 1029 meV/atom.


| no. | M_tot (μB per formula unit) |
| --- | --- |
| 1 | 0.1 |
| 2 | 0.0 |
| 3 | 0.0 |
| 4 | 0.0 |
| 5 | 1.0 |
| 6 | 6.1 |
| 7 | 0.0 |
| 8 | 0.0 |
| 9 | 0.2 |
| 10 | 0.0 |
| 11 | 3.0 |
| 12 | 0.0 |
| 13 | 0.0 |
| 14 | 4.9 |
| 15 | 0.0 |
| 16 | 0.0 |
| 17 | 0.2 |
| 18 | 0.0 |
| 19 | 0.0 |
| 20 | 0.0 |
| 21 | 0.0 |
| 22 | 0.0 |
| 23 | 0.0 |
| 24 | 1.1 |
| 25 | 0.0 |
| 26 | 0.0 |
| 27 | 0.0 |